<P>
RbScPtSe3 | PBE-GGA | relaxed

- SG = Cmcm (63)
- volume (Å³ per cell) = 306
- density (g/cm3) = 6.1

Unit cell a=8.0635 b=8.0635 c=9.9976 alpha=90.00 beta=90.00 gamma=151.93
Element x y z (fractional)
Pt (0.9787, 0.0213, 0.2500)
Pt (0.0213, 0.9787, 0.7500)
Rb (0.2568, 0.7432, 0.2500)
Rb (0.7432, 0.2568, 0.7500)
Sc (0.5000, 0.5000, 0.0000)
Sc (0.5000, 0.5000, 0.5000)
Se (0.8814, 0.1186, 0.0525)
Se (0.5783, 0.4217, 0.2500)
Se (0.8814, 0.1186, 0.4475)
Se (0.1186, 0.8814, 0.5525)
Se (0.4217, 0.5783, 0.7500)
Se (0.1186, 0.8814, 0.9475)

<Q>
RbScPtSe3 | PBE-GGA | relaxed

- SG = P2_1/m (11)
- volume (Å³ per cell) = 325
- density (g/cm3) = 5.7

Unit cell a=8.7344 b=3.9186 c=10.2565 alpha=90.00 beta=112.22 gamma=90.00
Element x y z (fractional)
Pt (0.9005, 0.2500, 0.4230)
Pt (0.0995, 0.7500, 0.5770)
Rb (0.2294, 0.7500, 0.2665)
Rb (0.7706, 0.2500, 0.7335)
Sc (0.6616, 0.7500, 0.1473)
Sc (0.3384, 0.2500, 0.8527)
Se (0.4402, 0.2500, 0.1326)
Se (0.8838, 0.2500, 0.1691)
Se (0.7310, 0.7500, 0.4306)
Se (0.2689, 0.2500, 0.5694)
Se (0.1162, 0.7500, 0.8309)
Se (0.5598, 0.7500, 0.8674)

Question: of the structures shown, which is the least stable? Reply: <P>.